{"formula": "LiMg12Cd3", "functional": "PBE-GGA", "state": "optimized geometry", "cell": [[4.4631, 0.0000, 0.0000], [0.0000, 4.4631, 0.0000], [0.0000, 0.0000, 17.6920]], "species": ["Li", "Mg", "Mg", "Mg", "Mg", "Mg", "Mg", "Mg", "Mg", "Mg", "Mg", "Mg", "Mg", "Cd", "Cd", "Cd"], "frac_coords": [[0.0000, 0.0000, 0.0000], [0.5000, 0.5000, 0.0000], [0.5000, 0.5000, 0.2517], [0.5000, 0.5000, 0.5000], [0.5000, 0.5000, 0.7483], [0.5000, 0.0000, 0.1256], [0.5000, 0.0000, 0.3761], [0.5000, 0.0000, 0.6239], [0.5000, 0.0000, 0.8744], [0.0000, 0.5000, 0.1256], [0.0000, 0.5000, 0.3761], [0.0000, 0.5000, 0.6239], [0.0000, 0.5000, 0.8744], [0.0000, 0.0000, 0.2502], [0.0000, 0.0000, 0.5000], [0.0000, 0.0000, 0.7498]]}

{"formula": "MnCoAu2", "functional": "PBE-GGA", "state": "optimized geometry", "cell": [[0.0000, 3.0638, 3.0638], [3.0638, 0.0000, 3.0638], [3.0638, 3.0638, 0.0000]], "species": ["Co", "Mn", "Au", "Au"], "frac_coords": [[0.5000, 0.5000, 0.5000], [0.0000, 0.0000, 0.0000], [0.2500, 0.2500, 0.2500], [0.7500, 0.7500, 0.7500]]}

{"formula": "PbAu3", "functional": "PBE-GGA", "state": "optimized geometry", "cell": [[4.1096, 0.0000, 0.0000], [-2.0548, 5.7527, 0.0000], [0.0000, 0.0000, 7.4664]], "species": ["Pb", "Pb", "Au", "Au", "Au", "Au", "Au", "Au"], "frac_coords": [[0.5636, 0.1273, 0.2500], [0.4364, 0.8727, 0.7500], [0.7313, 0.4625, 0.7500], [0.2687, 0.5375, 0.2500], [0.1197, 0.2395, 0.5530], [0.8803, 0.7605, 0.4470], [0.1197, 0.2395, 0.9470], [0.8803, 0.7605, 0.0530]]}

{"formula": "Ca2Al2Fe", "functional": "PBE-GGA", "state": "optimized geometry", "cell": [[-4.2552, 4.3286, -2.6047], [-1.4975, -4.3333, -4.7548], [-3.6951, -1.8937, 2.8895]], "species": ["Ca", "Ca", "Ca", "Ca", "Fe", "Fe", "Al", "Al", "Al", "Al"], "frac_coords": [[0.1768, 0.6768, 0.5000], [0.6768, 0.8232, 0.5000], [0.8232, 0.3232, 0.5000], [0.3232, 0.1768, 0.5000], [0.0000, 0.0000, 0.0000], [0.5000, 0.5000, 0.0000], [0.3481, 0.8481, 0.0000], [0.8481, 0.6519, 0.0000], [0.6519, 0.1519, 0.0000], [0.1519, 0.3481, 0.0000]]}

{"formula": "TlCr2Os", "functional": "PBE-GGA", "state": "optimized geometry", "e_above_lowest_polymorph_ev_per_atom": 0.195, "cell": [[-6.4319, -2.3507, -5.4767], [-7.5160, -3.3748, -3.0017], [-7.9182, -0.6047, -3.7184]], "species": ["Cr", "Cr", "Os", "Tl"], "frac_coords": [[0.9849, 0.9849, 0.9849], [0.2555, 0.2555, 0.2555], [0.5122, 0.5122, 0.5122], [0.7474, 0.7474, 0.7474]]}

{"formula": "PmPaAlRe", "functional": "PBE-GGA", "state": "optimized geometry", "cell": [[-2.5845, -1.1110, 4.1602], [-0.1769, -4.7379, 1.6561], [2.4344, -1.2843, 4.2006]], "species": ["Re", "Pa", "Al", "Pm"], "frac_coords": [[0.0000, 0.0000, 0.0000], [0.2500, 0.2500, 0.2500], [0.5000, 0.5000, 0.5000], [0.7500, 0.7500, 0.7500]]}

no.,uncorrected energy (eV per cell),formation energy (eV per formula unit),volume (A^3/atom)
1,-24.6,-0.84,22.03
2,-20.6,2.23,14.38
3,-27.2,-0.04,22.06
4,-38.3,0.79,22.07
5,-30.1,2.71,15.56
6,-30.0,0.41,22.39